Run w
DFT (GGA-PBE) results for a relaxed structure of SrAs2Os.

Unit cell a=3.1702 b=3.1702 c=8.6503 alpha=90.00 beta=90.00 gamma=89.99
Closest atoms and distances in Å follow each position.
Fractional positions:
As 0.0000 0.0000 0.0039  8 As 3.17-3.52, 4 Sr 3.29
As 0.5000 0.5000 0.3181  4 Os 2.52
Os 0.0000 0.0000 0.4521  4 As 2.52
Sr 0.5000 0.5000 0.7259  4 Sr 3.17, 4 Os 3.26, 5 As 3.29-3.53

Values from the calculation:
For the magnetic moment, the calculation gives 0.00 μB/cell.


Run x
DFT (GGA-PBE) results for a relaxed structure of SrAs2Os.

Unit cell a=7.4484 b=7.4484 c=6.3862 alpha=54.33 beta=54.33 gamma=90.00
Closest atoms and distances in Å follow each position.
Fractional positions:
As 0.3750 0.2840 0.7500  2 Os 2.38
As 0.0340 0.6250 0.2500  2 Os 2.38
As 0.8750 0.9660 0.7500  2 Os 2.38
As 0.7160 0.1250 0.2500  2 Os 2.38
Sr 0.5000 0.5000 0.0000  8 As 3.28-3.49, 2 Os 3.61
Sr 0.2500 0.7500 0.5000  8 As 3.28-3.49, 2 Os 3.61
Os 0.0000 0.0000 0.0000  4 As 2.38
Os 0.7500 0.2500 0.5000  4 As 2.38

Values from the calculation:
For the magnetic moment, the calculation gives 0.00 μB/cell.


Run y
DFT (GGA-PBE) results for a relaxed structure of SrAs2Os.

Unit cell a=4.2531 b=4.2531 c=5.9363 alpha=69.03 beta=69.03 gamma=59.96
Closest atoms and distances in Å follow each position.
Fractional positions:
Os 0.7500 0.7500 0.7500  6 As 2.57
As 0.4640 0.4640 0.6078  3 Os 2.57
As 0.0360 0.0360 0.8922  3 Os 2.57
Sr 0.2500 0.2500 0.2500  8 As 3.13-3.47

Values from the calculation:
For the magnetic moment, the calculation gives 0.00 μB/cell.


Run z
DFT (GGA-PBE) results for a relaxed structure of SrAs2Os.

Unit cell a=7.4595 b=7.4595 c=7.4595 alpha=151.71 beta=154.09 gamma=38.74
Closest atoms and distances in Å follow each position.
Fractional positions:
Sr 0.7016 0.2016 0.5000  6 As 3.05-3.07, 2 Sr 3.35
Os 0.4471 0.4471 0.0000  6 As 2.45-2.68
As 0.0201 0.0201 0.0000  4 Os 2.68
As 0.3313 0.8313 0.5000  2 Os 2.45

Values from the calculation:
For the magnetic moment, the calculation gives 0.00 μB/cell.


Relative to the most stable one, in eV/atom, the structures come out at run w 0.544; run x 0.141; run y 0.000; run z 0.297.


Run w
DFT (GGA-PBE) results for a relaxed structure of SrAs3Os.

Unit cell a=4.9349 b=4.9349 c=4.9349 alpha=90.00 beta=90.00 gamma=90.00
Closest atoms and distances in Å follow each position.
Fractional positions:
As 0.0000 0.0000 0.5000  2 Os 2.47
As 0.0000 0.5000 0.0000  2 Os 2.47
As 0.5000 0.0000 0.0000  2 Os 2.47
Sr 0.5000 0.5000 0.5000  12 As 3.49
Os 0.0000 0.0000 0.0000  6 As 2.47

Values from the calculation:
For the magnetic moment, the calculation gives 0.00 μB/cell.


Run x
DFT (GGA-PBE) results for a relaxed structure of SrAs3Os.

Unit cell a=5.2944 b=5.2944 c=5.2944 alpha=90.00 beta=90.00 gamma=90.00
Closest atoms and distances in Å follow each position.
Fractional positions:
Sr 0.0000 0.0000 0.0000  6 As 2.65
As 0.5000 0.0000 0.0000  2 Sr 2.65
As 0.0000 0.5000 0.0000  2 Sr 2.65
As 0.0000 0.0000 0.5000  2 Sr 2.65
Os 0.5000 0.5000 0.5000  12 As 3.74

Values from the calculation:
For the magnetic moment, the calculation gives 0.00 μB/cell.


Relative to the most stable one, in eV/atom, the structures come out at run w 0.000; run x 2.196.